The following is a PBE calculation of a relaxed structure of Tl2AsPd2, from Alexandria via LeMat-Bulk.

## Properties
Calculated total energy = -3.98 eV per atom
Spin magnetization = 0.000 μB per atom
Offset from the most stable computed form = 14.60 kJ per mole of atoms

Cell and atoms, written as POSCAR:
```
Tl2AsPd2
1.0
6.859 0.000 0.000
0.000 6.859 0.000
0.000 0.000 4.532
Tl As Pd
4 2 4
direct
0.162 0.338 0.000
0.338 0.838 0.000
0.662 0.162 0.000
0.838 0.662 0.000
0.000 0.000 0.500
0.500 0.500 0.500
0.154 0.654 0.500
0.346 0.154 0.500
0.654 0.846 0.500
0.846 0.346 0.500
```